No. 1
A plane-wave DFT calculation with PBEsol was carried out for a geometry-optimized CsSrCl3 structure.

a = 5.6144 Å, b = 5.6144 Å, c = 5.6144 Å
α = 90.00°, β = 90.00°, γ = 90.00°
Last column: nearest neighbours and their distance in Å.
Fractional positions:
Cl 0.0000 0.5000 0.0000  2 Sr 2.81
Cl 0.0000 0.0000 0.5000  2 Sr 2.81
Cl 0.5000 0.0000 0.0000  2 Sr 2.81
Sr 0.0000 0.0000 0.0000  6 Cl 2.81
Cs 0.5000 0.5000 0.5000  12 Cl 3.97

Output
Uncorrected energy (eV/atom): -4.03
Total magnetization (μB/cell): 0.00

=====

No. 2
A plane-wave DFT calculation with PBEsol was carried out for a geometry-optimized CsSrCl3 structure.

a = 5.7006 Å, b = 7.7588 Å, c = 7.7588 Å
α = 90.00°, β = 90.00°, γ = 90.00°
Last column: nearest neighbours and their distance in Å.
Fractional positions:
Cl 0.5000 0.1848 0.3152  2 Sr 2.83
Cl 0.5000 0.8152 0.6848  2 Sr 2.83
Cl 0.5000 0.3152 0.8152  2 Sr 2.83
Cl 0.5000 0.6848 0.1848  2 Sr 2.83
Cl 0.0000 0.0000 0.0000  2 Sr 2.85
Cl 0.0000 0.5000 0.5000  2 Sr 2.85
Cs 0.0000 0.0000 0.5000  8 Cl 3.50-3.88
Cs 0.0000 0.5000 0.0000  8 Cl 3.50-3.88
Sr 0.5000 0.0000 0.0000  6 Cl 2.83-2.85
Sr 0.5000 0.5000 0.5000  6 Cl 2.83-2.85

Output
Uncorrected energy (eV/atom): -4.05
Total magnetization (μB/cell): 0.00

=====

No. 3
A plane-wave DFT calculation with PBEsol was carried out for a geometry-optimized CsSrCl3 structure.

a = 7.8133 Å, b = 7.8133 Å, c = 7.8133 Å
α = 61.19°, β = 61.19°, γ = 61.19°
Last column: nearest neighbours and their distance in Å.
Fractional positions:
Sr 0.9939 0.9939 0.9939  6 Cl 2.83-2.84
Sr 0.4939 0.4939 0.4939  6 Cl 2.83-2.84
Cl 0.2512 0.8105 0.6781  2 Sr 2.83-2.84
Cl 0.8105 0.6781 0.2512  2 Sr 2.83-2.84
Cl 0.7512 0.1781 0.3105  2 Sr 2.83-2.84
Cl 0.6781 0.2512 0.8105  2 Sr 2.83-2.84
Cl 0.1781 0.3105 0.7512  2 Sr 2.83-2.84
Cl 0.3105 0.7512 0.1781  2 Sr 2.83-2.84
Cs 0.7379 0.7379 0.7379  6 Cl 3.45-3.79
Cs 0.2379 0.2379 0.2379  6 Cl 3.45-3.79

Output
Uncorrected energy (eV/atom): -4.05
Total magnetization (μB/cell): 0.00

=====

> What is the formula in the first record?

CsSrCl3

=====

> Which formula does entry 2 have?

CsSrCl3